[1]
A crystal of Na2VBPO7 relaxed with PBEsol, computed with meta-GGA SCAN.

The space group is P2_1/m (No. 11) and the conventional cell measures 5.4407, 6.3198 and 9.1391 Å, with angles of 90.00, 93.88 and 90.00 degrees. The asymmetric unit holds Na at (0.2365, 0.0031, 0.2867), V at (0.2190, 0.7500, 0.8377), B at (0.2738, 0.7500, 0.5825), P at (0.2691, 0.2500, 0.9438), O at (0.0480, 0.7500, 0.6520), O at (0.1231, 0.2500, 0.0819), O at (0.1968, 0.0534, 0.8486), O at (0.3122, 0.7500, 0.4434), O at (0.4499, 0.7500, 0.0174) and O at (0.4584, 0.7500, 0.7039).

Its total energy is -0.358 Ha/atom. For the uncorrected formation energy, the calculation gives -2.4490 eV/atom.



[2]
A crystal of YAgHg2 relaxed with PBEsol, computed with meta-GGA SCAN.

The space group is I-4m2 (No. 119) and the conventional cell measures 4.8916, 4.8916 and 6.9932 Å, with angles of 90.00, 90.00 and 90.00 degrees. The asymmetric unit holds Y at (0.0000, 0.0000, 0.0000), Ag at (0.0000, 0.5000, 0.2500), Hg at (0.0000, 0.0000, 0.5000) and Hg at (0.0000, 0.5000, 0.7500).

Its total energy is -1.812 Ha/atom.



[3]
A crystal of LiBeAs4 relaxed with PBEsol, computed with meta-GGA SCAN.

The space group is F-43m (No. 216) and the conventional cell measures 7.7301, 7.7301 and 7.7301 Å, with angles of 90.00, 90.00 and 90.00 degrees. The asymmetric unit holds Li at (0.0000, 0.0000, 0.0000), Be at (0.2500, 0.2500, 0.7500) and As at (0.1235, 0.1235, 0.3765).

Its total energy is -0.520 Ha/atom.



[4]
A crystal of CsMgSc2Ru relaxed with PBEsol, computed with meta-GGA SCAN.

The space group is P4/mmm (No. 123) and the conventional cell measures 5.0231, 5.0231 and 5.8186 Å, with angles of 90.00, 90.00 and 90.00 degrees. The asymmetric unit holds Cs at (0.0000, 0.0000, 0.0000), Mg at (0.5000, 0.5000, 0.0000), Sc at (0.0000, 0.5000, 0.5000) and Ru at (0.0000, 0.0000, 0.5000).

Its total energy is -0.760 Ha/atom.



[5]
A crystal of LaZn2P relaxed with PBEsol, computed with meta-GGA SCAN.

The space group is P4mm (No. 99) and the conventional cell measures 3.6662, 3.6662 and 6.1738 Å, with angles of 90.00, 90.00 and 90.00 degrees. The asymmetric unit holds La at (0.0000, 0.0000, 0.0000), Zn at (0.0000, 0.0000, 0.4972), Zn at (0.5000, 0.5000, 0.6078) and P at (0.5000, 0.5000, 0.2176).

Its total energy is -0.755 Ha/atom.



[6]
A crystal of SmAl3B4O12 relaxed with PBEsol, computed with meta-GGA SCAN.

The space group is C2/c (No. 15) and the conventional cell measures 7.2257, 9.3602 and 11.0747 Å, with angles of 90.00, 102.94 and 90.00 degrees. The asymmetric unit holds Sm at (0.0000, 0.0367, 0.2500), Al at (0.0000, 0.4115, 0.7500), Al at (0.0556, 0.2493, 0.5286), B at (0.1937, 0.3132, 0.2221), B at (0.2490, 0.4716, 0.9955), O at (0.0612, 0.2391, 0.1379), O at (0.0934, 0.0968, 0.9353), O at (0.0968, 0.3968, 0.9265), O at (0.1593, 0.2644, 0.7046), O at (0.1893, 0.4576, 0.2412) and O at (0.2504, 0.1199, 0.4975).

Its total energy is -0.431 Ha/atom. For the uncorrected formation energy, the calculation gives -3.1257 eV/atom.